A relaxed Al2ReW crystal, computed with GGA-PBEsol.

abc: 3.1367 3.1367 5.9191
angles: 90.00 90.00 90.00
Positions (direct):
Al (0.5000, 0.5000, 0.2560)
Re (0.0000, 0.0000, 0.4961)
W (0.5000, 0.5000, 0.7469)
Al (0.0000, 0.0000, 0.0010)

Properties
Symmetry: No. 99
Total magnetic moment (μB/f.u.): 0.0
DFT formation energy (kJ/mol of atoms): -24.0
Total energy (eV/f.u.): -36.32